# 1
! UInGaI6 PBE relaxed; values from VASP
! space-group type = P-31c
! total DFT energy (no corrections) = -3.5723 eV per atom
&SYSTEM
  ibrav = 0, nat = 18, ntyp = 4
/
ATOMIC_SPECIES
Ga 69.72 Ga.upf
In 114.82 In.upf
I 126.90 I.upf
U 238.03 U.upf
ATOMIC_POSITIONS angstrom
Ga 1.023 2.271 11.662
In 0.000 0.000 0.000
I -2.631 -2.299 4.344
I -1.607 1.543 2.699
I -1.946 3.337 6.436
I 0.495 -0.191 6.101
In 3.397 1.760 6.223
I -3.259 -0.363 8.198
U 3.817 -1.486 11.199
Ga 0.420 -3.246 4.976
I 3.389 -4.312 10.202
I -5.297 1.040 4.855
I 4.074 1.324 12.294
I 4.701 -0.612 8.440
I 0.948 -0.784 10.537
I 3.050 -2.518 13.939
I 6.739 -2.015 11.783
U -2.374 0.511 5.439
CELL_PARAMETERS angstrom
-6.867 3.388 2.790
1.516 -7.884 1.402
6.794 3.520 12.446



# 2
! ZrInGaI6 PBE relaxed; values from VASP
! space-group type = P-31c
! total DFT energy (no corrections) = -3.3097 eV per atom
&SYSTEM
  ibrav = 0, nat = 18, ntyp = 4
/
ATOMIC_SPECIES
I 126.90 I.upf
In 114.82 In.upf
Ga 69.72 Ga.upf
Zr 91.22 Zr.upf
ATOMIC_POSITIONS angstrom
I 5.235 4.299 5.278
I 2.359 4.512 9.172
In 0.000 0.000 0.000
I -1.253 2.597 9.172
I 2.729 4.299 1.947
I 6.340 2.384 1.947
I -1.106 6.683 9.172
I 1.253 2.597 12.502
I -2.359 4.512 12.502
Ga 0.000 4.598 3.612
I 1.623 2.384 5.278
Zr 0.000 4.598 10.837
I 2.876 0.214 1.947
I 5.087 0.214 5.278
Ga 3.982 2.299 10.837
Zr 3.982 2.299 3.612
I 1.106 6.683 12.502
In 0.000 0.000 7.225
CELL_PARAMETERS angstrom
7.963 0.000 0.000
-3.982 6.896 0.000
0.000 0.000 14.449



# 3
! Ga3IrI PBE relaxed; values from VASP
! space-group type = Pm-3m
! energy above the most stable polymorph in this dataset = 0 meV/atom
&SYSTEM
  ibrav = 0, nat = 5, ntyp = 3
/
ATOMIC_SPECIES
Ga 69.72 Ga.upf
I 126.90 I.upf
Ir 192.22 Ir.upf
ATOMIC_POSITIONS angstrom
Ga 2.471 0.000 0.000
Ga 0.000 0.000 2.471
Ga 0.000 2.471 0.000
I 2.471 2.471 2.471
Ir 0.000 0.000 0.000
CELL_PARAMETERS angstrom
4.943 0.000 0.000
0.000 4.943 0.000
0.000 0.000 4.943



# 4
! GaIr2I PBE relaxed; values from VASP
! space-group type = I-42d
! energy above the most stable polymorph in this dataset = 0 meV/atom
&SYSTEM
  ibrav = 0, nat = 8, ntyp = 3
/
ATOMIC_SPECIES
Ir 192.22 Ir.upf
Ga 69.72 Ga.upf
I 126.90 I.upf
ATOMIC_POSITIONS angstrom
Ir 0.348 -3.794 1.235
Ir -2.103 -2.406 2.369
Ga 0.250 -5.551 3.079
Ir -0.357 -5.316 5.544
Ga -1.513 -2.671 -0.097
Ir -1.882 -7.941 5.461
I -2.247 -4.178 4.225
I 0.000 0.000 0.000
CELL_PARAMETERS angstrom
-4.010 -1.298 1.049
0.984 -4.044 -1.243
1.029 -4.386 7.498



Magnetic moment
In order: 2.00 0.00 0.00 0.00
Unit: μB per formula unit